[1]
This record from Alexandria describes a geometry-optimized NdCu5Pt2 structure. The functional is PBE.

Results
calculated formation energy: -0.226 eV/atom
total moment: 0.00 μB/f.u.
total energy: -4.8919 eV per atom
V: 132.7 Å³/cell

The structure in POSCAR format:
```
NdCu5Pt2
1.0
-3.090 1.507 -1.931
-3.492 -4.697 -2.106
-5.043 -0.573 3.595
Nd Cu Pt
1 5 2
direct
0.000 0.000 0.000 Nd
0.000 0.500 0.500 Cu
0.637 0.537 0.189 Cu
0.363 0.463 0.811 Cu
0.363 0.811 0.463 Cu
0.637 0.189 0.537 Cu
0.733 0.767 0.767 Pt
0.267 0.233 0.233 Pt
```

[2]
This record from Alexandria describes a geometry-optimized Nd2Cu2Pt structure. The functional is PBE.

Results
calculated formation energy: -0.440 eV/atom
energy above the lowest structure with this stoichiometry: 9.3 kJ/mol of atoms
total moment: 0.00 μB/f.u.
total energy: -5.1939 eV per atom
V: 419.6 Å³/cell

The structure in POSCAR format:
```
Nd2Cu2Pt
1.0
-2.105 2.623 6.448
-6.943 -1.281 -1.746
0.552 -7.266 3.136
Nd Cu Pt
8 8 4
direct
0.683 0.817 0.500 Nd
0.317 0.183 0.500 Nd
0.817 0.317 0.000 Nd
0.183 0.683 0.000 Nd
0.817 0.317 0.500 Nd
0.183 0.683 0.500 Nd
0.317 0.183 0.000 Nd
0.683 0.817 0.000 Nd
0.381 0.881 0.250 Cu
0.619 0.119 0.250 Cu
0.119 0.381 0.750 Cu
0.881 0.619 0.750 Cu
0.881 0.619 0.250 Cu
0.119 0.381 0.250 Cu
0.381 0.881 0.750 Cu
0.619 0.119 0.750 Cu
0.500 0.500 0.250 Pt
0.000 0.000 0.750 Pt
0.500 0.500 0.750 Pt
0.000 0.000 0.250 Pt
```

[3]
This record from Alexandria describes a geometry-optimized NdCu4Pt6 structure. The functional is PBE.

Results
calculated formation energy: -0.121 eV/atom
total moment: 0.00 μB/f.u.
total energy: -5.3386 eV per atom
V: 187.5 Å³/cell

The structure in POSCAR format:
```
NdCu4Pt6
1.0
6.487 -0.260 -0.383
-3.230 5.632 0.383
-3.230 -1.715 5.378
Nd Cu Pt
1 4 6
direct
0.000 0.000 0.000 Nd
0.000 0.264 0.560 Cu
0.705 0.440 0.440 Cu
0.000 0.560 0.264 Cu
0.295 0.736 0.736 Cu
0.000 0.910 0.462 Pt
0.000 0.462 0.910 Pt
0.552 0.090 0.090 Pt
0.500 0.000 0.500 Pt
0.448 0.538 0.538 Pt
0.500 0.500 0.000 Pt
```

[4]
This record from Alexandria describes a geometry-optimized Nd2Cu3Pt structure. The functional is PBE.

Results
calculated formation energy: -0.477 eV/atom
energy above the lowest structure with this stoichiometry: 0.0 kJ/mol of atoms
total moment: 0.00 μB/f.u.
total energy: -5.1211 eV per atom
V: 245.7 Å³/cell

The structure in POSCAR format:
```
Nd2Cu3Pt
1.0
-5.632 0.673 -0.918
-1.466 -5.555 0.110
2.397 2.892 7.808
Nd Cu Pt
4 6 2
direct
0.750 0.250 0.500 Nd
0.747 0.253 0.000 Nd
0.250 0.750 0.500 Nd
0.253 0.747 0.000 Nd
0.838 0.838 0.162 Cu
0.676 0.676 0.838 Cu
0.162 0.162 0.838 Cu
0.324 0.324 0.162 Cu
0.163 0.163 0.326 Cu
0.837 0.837 0.674 Cu
0.666 0.666 0.332 Pt
0.334 0.334 0.668 Pt
```

[5]
This record from Alexandria describes a geometry-optimized NdCu4Pt4 structure. The functional is PBE.

Results
calculated formation energy: -0.182 eV/atom
total moment: 0.00 μB/f.u.
total energy: -5.2171 eV per atom
V: 307.5 Å³/cell

The structure in POSCAR format:
```
NdCu4Pt4
1.0
-1.553 -3.838 -2.000
3.082 -4.443 6.135
-7.053 0.732 4.074
Nd Cu Pt
2 8 8
direct
0.000 0.000 0.000 Nd
0.500 0.500 0.500 Nd
0.507 0.864 0.243 Cu
0.507 0.136 0.757 Cu
0.007 0.743 0.636 Cu
0.993 0.364 0.743 Cu
0.993 0.636 0.257 Cu
0.493 0.243 0.136 Cu
0.493 0.757 0.864 Cu
0.007 0.257 0.364 Cu
0.492 0.420 0.861 Pt
0.992 0.639 0.920 Pt
0.492 0.580 0.139 Pt
0.008 0.080 0.639 Pt
0.508 0.861 0.580 Pt
0.008 0.920 0.361 Pt
0.992 0.361 0.080 Pt
0.508 0.139 0.420 Pt
```

[6]
This record from Alexandria describes a geometry-optimized Nd3Cu3Pt2 structure. The functional is PBE.

Results
calculated formation energy: -0.620 eV/atom
total moment: 0.00 μB/f.u.
total energy: -5.4541 eV per atom
V: 350.4 Å³/cell

The structure in POSCAR format:
```
Nd3Cu3Pt2
1.0
4.238 0.000 0.000
-2.119 5.309 0.000
0.000 0.000 15.577
Nd Cu Pt
6 6 4
direct
0.880 0.761 0.410 Nd
0.120 0.239 0.910 Nd
0.880 0.761 0.090 Nd
0.120 0.239 0.590 Nd
0.611 0.223 0.250 Nd
0.389 0.777 0.750 Nd
0.589 0.178 0.452 Cu
0.411 0.822 0.952 Cu
0.589 0.178 0.048 Cu
0.411 0.822 0.548 Cu
0.327 0.655 0.250 Cu
0.673 0.345 0.750 Cu
0.819 0.638 0.884 Pt
0.181 0.362 0.384 Pt
0.819 0.638 0.616 Pt
0.181 0.362 0.116 Pt
```

[7]
This record from Alexandria describes a geometry-optimized Nd2CuPt structure. The functional is PBE.

Results
calculated formation energy: -0.608 eV/atom
total moment: 0.00 μB/f.u.
total energy: -5.5262 eV per atom
V: 93.5 Å³/cell

The structure in POSCAR format:
```
Nd2CuPt
1.0
3.605 0.000 0.000
0.000 5.094 0.000
0.000 0.000 5.094
Nd Cu Pt
2 1 1
direct
0.000 0.000 0.500 Nd
0.000 0.500 0.000 Nd
0.500 0.500 0.500 Cu
0.500 0.000 0.000 Pt
```

[8]
This record from Alexandria describes a geometry-optimized NdCu4Pt8 structure. The functional is PBE.

Results
calculated formation energy: -0.341 eV/atom
total moment: 0.00 μB/f.u.
total energy: -5.6852 eV per atom
V: 204.7 Å³/cell

The structure in POSCAR format:
```
NdCu4Pt8
1.0
-4.800 1.647 0.256
-4.263 -4.911 2.108
-1.470 2.601 6.149
Nd Cu Pt
1 4 8
direct
0.000 0.000 0.000 Nd
0.000 0.000 0.500 Cu
0.500 0.000 0.500 Cu
0.000 0.500 0.000 Cu
0.500 0.500 0.000 Cu
0.000 0.347 0.653 Pt
0.000 0.653 0.347 Pt
0.347 0.653 0.653 Pt
0.653 0.347 0.347 Pt
0.500 0.778 0.222 Pt
0.500 0.222 0.778 Pt
0.278 0.222 0.222 Pt
0.722 0.778 0.778 Pt
```

[9]
This record from Alexandria describes a geometry-optimized Nd3Cu2Pt6 structure. The functional is PBE.

Results
calculated formation energy: -0.804 eV/atom
total moment: 0.00 μB/f.u.
total energy: -6.1443 eV per atom
V: 442.6 Å³/cell

The structure in POSCAR format:
```
Nd3Cu2Pt6
1.0
7.840 0.000 -2.772
-3.920 6.789 -2.772
0.000 0.000 8.315
Nd Cu Pt
6 4 12
direct
0.701 0.000 0.701 Nd
0.299 0.000 0.299 Nd
0.000 0.299 0.299 Nd
0.000 0.701 0.701 Nd
0.299 0.299 0.000 Nd
0.701 0.701 0.000 Nd
0.000 0.500 0.000 Cu
0.500 0.000 0.000 Cu
0.000 0.000 0.500 Cu
0.500 0.500 0.500 Cu
0.671 0.342 0.671 Pt
0.671 0.000 0.329 Pt
0.329 0.000 0.671 Pt
0.329 0.658 0.329 Pt
0.000 0.671 0.329 Pt
0.658 0.329 0.329 Pt
0.342 0.671 0.671 Pt
0.000 0.329 0.671 Pt
0.329 0.671 0.000 Pt
0.671 0.671 0.342 Pt
0.329 0.329 0.658 Pt
0.671 0.329 0.000 Pt
```

[10]
This record from Alexandria describes a geometry-optimized Nd2Cu3Pt structure. The functional is PBE.

Results
calculated formation energy: -0.473 eV/atom
energy above the lowest structure with this stoichiometry: 0.3 kJ/mol of atoms
total moment: 0.00 μB/f.u.
total energy: -5.1176 eV per atom
V: 123.6 Å³/cell

The structure in POSCAR format:
```
Nd2Cu3Pt
1.0
3.820 0.000 0.000
0.000 4.296 0.000
0.000 0.000 7.528
Nd Cu Pt
2 3 1
direct
0.000 0.500 0.007 Nd
0.000 0.000 0.494 Nd
0.500 0.000 0.832 Cu
0.500 0.000 0.154 Cu
0.500 0.500 0.677 Cu
0.500 0.500 0.337 Pt
```

[11]
This record from Alexandria describes a geometry-optimized Nd4CuPt3 structure. The functional is PBE.

Results
calculated formation energy: -0.920 eV/atom
total moment: 0.00 μB/f.u.
total energy: -6.0812 eV per atom
V: 195.2 Å³/cell

The structure in POSCAR format:
```
Nd4CuPt3
1.0
3.924 0.000 0.000
0.000 4.573 0.000
0.000 0.000 10.878
Nd Cu Pt
4 1 3
direct
0.500 0.500 0.366 Nd
0.000 0.500 0.860 Nd
0.000 0.000 0.137 Nd
0.500 0.000 0.639 Nd
0.500 0.500 0.075 Cu
0.000 0.500 0.589 Pt
0.000 0.000 0.410 Pt
0.500 0.000 0.925 Pt
```

[12]
This record from Alexandria describes a geometry-optimized Nd8Cu2Pt structure. The functional is PBE.

Results
calculated formation energy: -0.133 eV/atom
energy above the lowest structure with this stoichiometry: 10.1 kJ/mol of atoms
total moment: 0.00 μB/f.u.
total energy: -4.8946 eV per atom
V: 331.9 Å³/cell

The structure in POSCAR format:
```
Nd8Cu2Pt
1.0
6.110 -0.016 -1.078
-2.080 6.999 -3.026
-0.172 -0.208 7.899
Nd Cu Pt
8 2 1
direct
0.599 0.353 0.092 Nd
0.599 0.092 0.353 Nd
0.176 0.368 0.368 Nd
0.977 0.198 0.799 Nd
0.977 0.799 0.198 Nd
0.796 0.638 0.638 Nd
0.350 0.910 0.648 Nd
0.350 0.648 0.910 Nd
0.491 0.699 0.314 Cu
0.491 0.314 0.699 Cu
0.194 0.014 0.014 Pt
```

[13]
This record from Alexandria describes a geometry-optimized NdCuPt4 structure. The functional is PBE.

Results
calculated formation energy: -0.553 eV/atom
energy above the lowest structure with this stoichiometry: 5.9 kJ/mol of atoms
total moment: 0.00 μB/f.u.
total energy: -6.0575 eV per atom
V: 212.3 Å³/cell

The structure in POSCAR format:
```
NdCuPt4
1.0
-2.409 2.503 -1.709
-5.451 -3.176 3.032
1.829 3.553 7.010
Nd Cu Pt
2 2 8
direct
0.110 0.250 0.220 Nd
0.890 0.750 0.780 Nd
0.242 0.750 0.483 Cu
0.758 0.250 0.517 Cu
0.500 0.500 0.000 Pt
0.500 0.000 0.000 Pt
0.676 0.946 0.352 Pt
0.324 0.054 0.648 Pt
0.324 0.446 0.648 Pt
0.676 0.554 0.352 Pt
0.076 0.750 0.152 Pt
0.924 0.250 0.848 Pt
```

[14]
This record from Alexandria describes a geometry-optimized NdCu12Pt4 structure. The functional is PBE.

Results
calculated formation energy: 0.329 eV/atom
total moment: 0.00 μB/f.u.
total energy: -4.2643 eV per atom
V: 292.3 Å³/cell

The structure in POSCAR format:
```
NdCu12Pt4
1.0
7.241 0.000 0.000
-2.414 6.827 0.000
-2.414 -3.413 5.912
Nd Cu Pt
1 12 4
direct
0.000 0.000 0.000 Nd
0.855 0.359 0.214 Cu
0.359 0.505 0.145 Cu
0.786 0.145 0.641 Cu
0.359 0.214 0.855 Cu
0.214 0.855 0.359 Cu
0.641 0.495 0.855 Cu
0.505 0.145 0.359 Cu
0.495 0.855 0.641 Cu
0.641 0.786 0.145 Cu
0.855 0.641 0.495 Cu
0.145 0.359 0.505 Cu
0.145 0.641 0.786 Cu
0.000 0.500 0.000 Pt
0.500 0.000 0.000 Pt
0.500 0.500 0.500 Pt
0.000 0.000 0.500 Pt
```

[15]
This record from Alexandria describes a geometry-optimized Nd8Cu2Pt structure. The functional is PBE.

Results
calculated formation energy: -0.238 eV/atom
energy above the lowest structure with this stoichiometry: 0.0 kJ/mol of atoms
total moment: 0.00 μB/f.u.
total energy: -4.9991 eV per atom
V: 315.8 Å³/cell

The structure in POSCAR format:
```
Nd8Cu2Pt
1.0
-0.069 -0.067 -5.184
6.488 -2.342 -0.055
-4.678 -7.653 2.754
Nd Cu Pt
8 2 1
direct
0.411 0.555 0.822 Nd
0.665 0.973 0.331 Nd
0.799 0.658 0.599 Nd
0.967 0.219 0.935 Nd
0.201 0.342 0.401 Nd
0.335 0.027 0.669 Nd
0.589 0.445 0.178 Nd
0.033 0.781 0.065 Nd
0.809 0.252 0.618 Cu
0.191 0.748 0.382 Cu
0.500 0.000 0.000 Pt
```

[16]
This record from Alexandria describes a geometry-optimized Nd2CuPt structure. The functional is PBE.

Results
calculated formation energy: -0.531 eV/atom
total moment: 0.00 μB/f.u.
total energy: -5.4493 eV per atom
V: 106.0 Å³/cell

The structure in POSCAR format:
```
Nd2CuPt
1.0
4.216 0.000 0.000
2.108 3.651 0.000
2.108 1.217 6.887
Nd Cu Pt
2 1 1
direct
0.754 0.754 0.739 Nd
0.246 0.246 0.261 Nd
0.000 0.000 0.000 Cu
0.500 0.500 0.500 Pt
```

[17]
This record from Alexandria describes a geometry-optimized Nd4CuPt2 structure. The functional is PBE.

Results
calculated formation energy: -0.584 eV/atom
total moment: 0.00 μB/f.u.
total energy: -5.6193 eV per atom
V: 403.4 Å³/cell

The structure in POSCAR format:
```
Nd4CuPt2
1.0
-1.171 -6.534 -4.577
6.101 -1.429 5.075
-6.700 1.639 4.177
Nd Cu Pt
8 2 4
direct
0.925 0.232 0.307 Nd
0.325 0.518 0.193 Nd
0.925 0.618 0.693 Nd
0.768 0.075 0.693 Nd
0.382 0.075 0.307 Nd
0.325 0.132 0.807 Nd
0.482 0.675 0.807 Nd
0.868 0.675 0.193 Nd
0.249 0.749 0.500 Cu
0.001 0.001 0.000 Cu
0.625 0.375 0.750 Pt
0.625 0.875 0.250 Pt
0.625 0.375 0.250 Pt
0.125 0.375 0.750 Pt
```

[18]
This record from Alexandria describes a geometry-optimized NdCu8Pt2 structure. The functional is PBE.

Results
calculated formation energy: 0.181 eV/atom
total moment: 0.00 μB/f.u.
total energy: -4.3297 eV per atom
V: 187.0 Å³/cell

The structure in POSCAR format:
```
NdCu8Pt2
1.0
6.209 0.000 0.000
0.000 6.209 0.000
0.000 0.000 4.851
Nd Cu Pt
1 8 2
direct
0.500 0.500 0.500 Nd
0.803 0.803 0.254 Cu
0.803 0.197 0.746 Cu
0.803 0.803 0.746 Cu
0.803 0.197 0.254 Cu
0.197 0.803 0.254 Cu
0.197 0.803 0.746 Cu
0.197 0.197 0.254 Cu
0.197 0.197 0.746 Cu
0.500 0.000 0.000 Pt
0.000 0.500 0.000 Pt
```

[19]
This record from Alexandria describes a geometry-optimized Nd4Cu3Pt structure. The functional is PBE.

Results
calculated formation energy: -0.432 eV/atom
total moment: 0.00 μB/f.u.
total energy: -5.1067 eV per atom
V: 192.7 Å³/cell

The structure in POSCAR format:
```
Nd4Cu3Pt
1.0
-1.615 -1.749 -3.164
0.493 -4.039 1.981
-9.749 0.985 4.433
Nd Cu Pt
4 3 1
direct
0.500 0.500 0.359 Nd
0.000 0.500 0.862 Nd
0.000 0.000 0.139 Nd
0.500 0.000 0.640 Nd
0.000 0.500 0.566 Cu
0.000 0.000 0.432 Cu
0.500 0.000 0.926 Cu
0.500 0.500 0.076 Pt
```

[20]
This record from Alexandria describes a geometry-optimized Nd2Cu2Pt15 structure. The functional is PBE.

Results
calculated formation energy: -0.432 eV/atom
total moment: 0.00 μB/f.u.
total energy: -6.1339 eV per atom
V: 333.8 Å³/cell

The structure in POSCAR format:
```
Nd2Cu2Pt15
1.0
6.982 -0.040 -0.036
0.866 6.929 -0.036
0.866 0.760 6.887
Nd Cu Pt
2 2 15
direct
0.339 0.339 0.339 Nd
0.661 0.661 0.661 Nd
0.094 0.094 0.094 Cu
0.906 0.906 0.906 Cu
0.500 0.000 0.000 Pt
0.000 0.000 0.500 Pt
0.000 0.500 0.000 Pt
0.000 0.690 0.310 Pt
0.690 0.310 0.000 Pt
0.310 0.000 0.690 Pt
0.310 0.690 0.000 Pt
0.690 0.000 0.310 Pt
0.000 0.310 0.690 Pt
0.157 0.657 0.657 Pt
0.657 0.657 0.157 Pt
0.657 0.157 0.657 Pt
0.843 0.343 0.343 Pt
0.343 0.343 0.843 Pt
0.343 0.843 0.343 Pt
```